Here is a relaxed Cs2BTeCl6 crystal from the Alexandria database. Energies are from PBE.

Symmetry: I4/mmm, No. 139
DOS at the Fermi energy (states/eV/cell): 4.31
Formation energy from raw total energies (eV/atom): -0.873

Unit cell a=7.8153 b=7.8153 c=7.8153 alpha=122.64 beta=122.64 gamma=85.49
Atoms (fractional coordinates):
Cs 0.2500 0.7500 0.5000
Cs 0.7500 0.2500 0.5000
B 0.0000 0.0000 0.0000
Te 0.5000 0.5000 0.0000
Cl 0.1889 0.1889 0.3777
Cl 0.1889 0.8111 0.0000
Cl 0.2738 0.2738 0.0000
Cl 0.7262 0.7262 0.0000
Cl 0.8111 0.1889 0.0000
Cl 0.8111 0.8111 0.6223